! CaRhN (PBE-GGA, relaxed); values from VASP
! Energy relative to the elements, uncorrected in eV/atom: -0.602
! Space group: P4/mmm (123)
! Calculated total energy in eV per atom: -6.495
! Volume in Å³/cell: 49.7
&SYSTEM
  ibrav = 0, nat = 3, ntyp = 3
/
ATOMIC_SPECIES
Ca 40.08 Ca.upf
Rh 102.91 Rh.upf
N 14.01 N.upf
CELL_PARAMETERS angstrom
3.6244 0.0000 0.0000
0.0000 3.6244 0.0000
0.0000 0.0000 3.7828
ATOMIC_POSITIONS crystal
Ca 0.0000 0.0000 0.0000
Rh 0.5000 0.5000 0.5000
N 0.5000 0.5000 0.0000